Computed, not measured: an optimized crystal structure of AsPdBr2F at the PBE level of DFT.

Structure (POSCAR):
```
AsPdBr2F
1.0
5.4799 0.0000 0.0000
0.0000 5.4799 0.0000
0.0000 0.0000 3.8394
As Pd Br F
1 1 2 1
direct
0.0000 0.0000 0.0000
0.5000 0.5000 0.0000
0.0000 0.5000 0.5000
0.5000 0.0000 0.5000
0.0000 0.0000 0.5000
```

The total energy is -13.991 eV per cell.


Computed, not measured: an optimized crystal structure of AsPdBr2F at the PBE level of DFT.

Structure (POSCAR):
```
AsPdBr2F
1.0
5.1425 0.0000 0.0000
0.0000 5.1425 0.0000
0.0000 0.0000 4.7774
As Pd Br F
1 1 2 1
direct
0.0000 0.0000 0.0000
0.0000 0.0000 0.5000
0.0000 0.5000 0.5000
0.5000 0.0000 0.5000
0.5000 0.5000 0.0000
```

The total energy is -14.375 eV per cell.


Computed, not measured: an optimized crystal structure of As2PdBrF at the PBE level of DFT.

Structure (POSCAR):
```
As2PdBrF
1.0
4.8234 0.0000 0.0000
0.0000 4.8234 0.0000
0.0000 0.0000 5.1752
As Pd Br F
2 1 1 1
direct
0.0000 0.5000 0.0000
0.5000 0.0000 0.0000
0.0000 0.0000 0.0000
0.0000 0.0000 0.5000
0.5000 0.5000 0.5000
```

The total energy is -16.789 eV per cell.


Computed, not measured: an optimized crystal structure of As2PdBrF at the PBE level of DFT.

Structure (POSCAR):
```
As2PdBrF
1.0
4.3088 0.0000 0.0000
0.0000 4.3088 0.0000
0.0000 0.0000 5.4231
As Pd Br F
2 1 1 1
direct
0.0000 0.5000 0.0000
0.5000 0.0000 0.0000
0.0000 0.0000 0.5000
0.5000 0.5000 0.5000
0.5000 0.5000 0.0000
```

The total energy is -16.300 eV per cell.


Computed, not measured: an optimized crystal structure of As2PtBrF at the PBE level of DFT.

Structure (POSCAR):
```
As2PtBrF
1.0
4.8514 0.0000 0.0000
0.0000 4.8514 0.0000
0.0000 0.0000 5.2454
As Pt Br F
2 1 1 1
direct
0.0000 0.5000 0.0000
0.5000 0.0000 0.0000
0.0000 0.0000 0.0000
0.0000 0.0000 0.5000
0.5000 0.5000 0.5000
```

The total energy is -17.596 eV per cell.


Computed, not measured: an optimized crystal structure of As2PtBrF at the PBE level of DFT.

Structure (POSCAR):
```
As2PtBrF
1.0
4.2962 0.0000 0.0000
0.0000 4.2962 0.0000
0.0000 0.0000 5.2663
As Pt Br F
2 1 1 1
direct
0.0000 0.5000 0.0000
0.5000 0.0000 0.0000
0.0000 0.0000 0.5000
0.5000 0.5000 0.5000
0.5000 0.5000 0.0000
```

The total energy is -16.146 eV per cell.


Computed, not measured: an optimized crystal structure of RbAsBr2F at the PBE level of DFT.

Structure (POSCAR):
```
RbAsBr2F
1.0
5.7440 0.0000 0.0000
0.0000 5.7440 0.0000
0.0000 0.0000 4.2313
Rb As Br F
1 1 2 1
direct
0.0000 0.0000 0.0000
0.5000 0.5000 0.5000
0.0000 0.5000 0.5000
0.5000 0.0000 0.5000
0.5000 0.5000 0.0000
```

The total energy is -16.716 eV per cell.


Computed, not measured: an optimized crystal structure of RbAs2BrF at the PBE level of DFT.

Structure (POSCAR):
```
RbAs2BrF
1.0
4.4955 0.0000 0.0000
0.0000 4.4955 0.0000
0.0000 0.0000 7.2327
Rb As Br F
1 2 1 1
direct
0.0000 0.0000 0.0000
0.0000 0.5000 0.5000
0.5000 0.0000 0.5000
0.5000 0.5000 0.0000
0.5000 0.5000 0.5000
```

The total energy is -15.481 eV per cell.